[1]
## Te2MoOs (PBE-GGA)

Data for a relaxed structure of Te2MoOs.

The structure in POSCAR format:
```
Te2MoOs
1.0
1.5865 0.9160 10.3393
-1.5865 0.9160 10.3393
0.0000 -1.8320 10.3393
Te Mo Os
2 1 1
Direct
0.0000 0.0000 0.0000
0.1983 0.1983 0.1983
0.4663 0.4663 0.4663
0.7323 0.7323 0.7323
```

Results
raw formation energy	0.405	eV per atom
uncorrected energy	-26.7	eV per cell
Fermi-level density of states	4.643	states/eV per cell

---

[2]
## Te3MoOs (PBE-GGA)

Data for a relaxed structure of Te3MoOs.

The structure in POSCAR format:
```
Te3MoOs
1.0
5.2115 0.0000 0.0000
0.0000 5.2115 0.0000
0.0000 0.0000 5.2115
Te Mo Os
3 1 1
Direct
0.0000 0.0000 0.5000
0.0000 0.5000 0.0000
0.5000 0.0000 0.0000
0.5000 0.5000 0.5000
0.0000 0.0000 0.0000
```

Results
raw formation energy	1.310	eV per atom
uncorrected energy	-24.9	eV per cell
Fermi-level density of states	5.307	states/eV per cell

---

[3]
## Te2MoOs (PBE-GGA)

Data for a relaxed structure of Te2MoOs.

The structure in POSCAR format:
```
Te2MoOs
1.0
1.6274 0.9396 8.2473
-1.6274 0.9396 8.2473
0.0000 -1.8791 8.2473
Te Mo Os
2 1 1
Direct
0.2502 0.2502 0.2502
0.7498 0.7498 0.7498
0.0000 0.0000 0.0000
0.5000 0.5000 0.5000
```

Results
raw formation energy	0.621	eV per atom
uncorrected energy	-25.9	eV per cell
Fermi-level density of states	3.098	states/eV per cell

---

[4]
## TeMo2Os (PBE-GGA)

Data for a relaxed structure of TeMo2Os.

The structure in POSCAR format:
```
TeMo2Os
1.0
4.7869 -1.5353 0.0000
4.7869 1.5353 0.0000
-1.3686 0.0000 4.5744
Te Mo Os
1 2 1
Direct
0.0000 0.0000 0.0000
0.2533 0.2533 0.8371
0.4757 0.4757 0.4691
0.7425 0.7425 0.3450
```

Results
raw formation energy	0.397	eV per atom
uncorrected energy	-34.4	eV per cell
Fermi-level density of states	2.264	states/eV per cell

---

[5]
## TeMo2Os (PBE-GGA)

Data for a relaxed structure of TeMo2Os.

The structure in POSCAR format:
```
TeMo2Os
1.0
-1.5551 2.2954 4.6854
1.5551 -2.2954 4.6854
1.5551 2.2954 -4.6854
Te Mo Os
1 2 1
Direct
0.0000 0.0000 0.0000
0.2331 0.7331 0.5000
0.5201 0.5201 0.0000
0.7670 0.2670 0.5000
```

Results
raw formation energy	0.467	eV per atom
uncorrected energy	-34.2	eV per cell
Fermi-level density of states	3.317	states/eV per cell

---

[6]
## Te2MoOs (PBE-GGA)

Data for a relaxed structure of Te2MoOs.

The structure in POSCAR format:
```
Te2MoOs
1.0
3.0565 0.0000 0.0000
0.0000 3.9382 0.0000
0.0000 0.0000 7.6505
Te Mo Os
2 1 1
Direct
0.0000 0.0000 0.0000
0.5000 0.5000 0.4458
0.0000 0.0000 0.6509
0.5000 0.5000 0.8036
```

Results
raw formation energy	0.331	eV per atom
uncorrected energy	-27.0	eV per cell
Fermi-level density of states	3.209	states/eV per cell

---

[7]
## TeMo2Os (PBE-GGA)

Data for a relaxed structure of TeMo2Os.

The structure in POSCAR format:
```
TeMo2Os
1.0
4.1949 0.0000 0.0000
0.0000 1.4840 5.4370
0.0000 -1.4840 5.4370
Te Mo Os
1 2 1
Direct
0.0000 0.0000 0.0000
0.0000 0.2491 0.2491
0.5000 0.6073 0.6073
0.5000 0.8465 0.8465
```

Results
raw formation energy	0.465	eV per atom
uncorrected energy	-34.2	eV per cell
Fermi-level density of states	3.916	states/eV per cell

---

[8]
## Te2MoOs (PBE-GGA)

Data for a relaxed structure of Te2MoOs.

The structure in POSCAR format:
```
Te2MoOs
1.0
-1.6343 2.0720 6.2446
1.6343 -2.0720 6.2446
1.6343 2.0720 -6.2446
Te Mo Os
2 1 1
Direct
0.0000 0.0000 0.0000
0.7435 0.2435 0.5000
0.3506 0.8506 0.5000
0.5299 0.5299 0.0000
```

Results
raw formation energy	0.600	eV per atom
uncorrected energy	-25.9	eV per cell
Fermi-level density of states	3.021	states/eV per cell

---

[9]
## Te2MoOs (PBE-GGA)

Data for a relaxed structure of Te2MoOs.

The structure in POSCAR format:
```
Te2MoOs
1.0
0.0000 3.4009 3.4009
3.4009 0.0000 3.4009
3.4009 3.4009 0.0000
Te Mo Os
2 1 1
Direct
0.0000 0.0000 0.0000
0.2500 0.2500 0.2500
0.5000 0.5000 0.5000
0.7500 0.7500 0.7500
```

Results
raw formation energy	1.138	eV per atom
uncorrected energy	-23.8	eV per cell
Fermi-level density of states	5.755	states/eV per cell

---

[10]
## TeMo4Os (PBE-GGA)

Data for a relaxed structure of TeMo4Os.

The structure in POSCAR format:
```
TeMo4Os
1.0
0.0000 3.7097 3.7097
3.7097 0.0000 3.7097
3.7097 3.7097 0.0000
Te Mo Os
1 4 1
Direct
0.0000 0.0000 0.0000
0.1233 0.6256 0.6256
0.6256 0.1233 0.6256
0.6256 0.6256 0.1233
0.6256 0.6256 0.6256
0.2500 0.2500 0.2500
```

Results
raw formation energy	0.689	eV per atom
uncorrected energy	-53.6	eV per cell
Fermi-level density of states	6.684	states/eV per cell

---

[11]
## TeMo2Os (PBE-GGA)

Data for a relaxed structure of TeMo2Os.

The structure in POSCAR format:
```
TeMo2Os
1.0
-2.9631 2.9631 5.7498
2.9631 -2.9631 5.7498
2.9631 2.9631 -5.7498
Te Mo Os
2 4 2
Direct
0.0000 0.0000 0.0000
0.7500 0.2500 0.5000
0.1612 0.6250 0.0362
0.3750 0.4112 0.5362
0.5888 0.1250 0.9638
0.8750 0.8388 0.4638
0.2500 0.7500 0.5000
0.5000 0.5000 0.0000
```

Results
raw formation energy	1.041	eV per atom
uncorrected energy	-63.7	eV per cell
Fermi-level density of states	9.603	states/eV per cell

---

[12]
## Te2MoOs (PBE-GGA)

Data for a relaxed structure of Te2MoOs.

The structure in POSCAR format:
```
Te2MoOs
1.0
0.0000 3.3256 3.3256
3.3256 0.0000 3.3256
3.3256 3.3256 0.0000
Te Mo Os
2 1 1
Direct
0.2500 0.2500 0.2500
0.7500 0.7500 0.7500
0.0000 0.0000 0.0000
0.5000 0.5000 0.5000
```

Results
raw formation energy	0.612	eV per atom
uncorrected energy	-25.9	eV per cell
Fermi-level density of states	2.716	states/eV per cell